Record 1
The following is a DFT calculation (PBE) of a geometry-optimized SnBiP2O8 structure.

**Formation energy without anion corrections**: -1712 meV per atom
**Total moment**: 0.00 Bohr magnetons per cell

Cell: 5.0141 5.0141 22.2641 Å, 90.00 90.00 120.00°
With the nearest neighbours (Å) after each atom.
Space group R-3 (No. 148, hexagonal axes)
Asymmetric unit:
Sn (0.0000, 0.0000, 0.0000) (multiplicity 3)  12 O 2.88-2.91
Bi (0.0000, 0.0000, 0.5000) (multiplicity 3)  6 O 2.31
P (0.0000, 0.0000, 0.2524) (multiplicity 6)  4 O 1.53-1.56
O (0.0000, 0.0000, 0.3213) (multiplicity 6)  1 P 1.53
O (0.0162, 0.3023, 0.7705) (multiplicity 18)  1 P 1.56

Record 2
The following is a DFT calculation (PBE) of a geometry-optimized ErAl4In structure.

**Energy relative to the elements**: -0.177 eV/atom
**Total moment**: 0.00 Bohr magnetons per cell

Cell: 7.8421 7.8421 7.8421 Å, 90.00 90.00 90.00°
With the nearest neighbours (Å) after each atom.
Space group F-43m (No. 216)
Asymmetric unit:
Er (0.0000, 0.0000, 0.0000) (multiplicity 4)  12 Al 3.25, 4 In 3.40
Al (0.1257, 0.1257, 0.3743) (multiplicity 16)  6 Al 2.76-2.79
In (0.2500, 0.2500, 0.7500) (multiplicity 4)  12 Al 3.25, 4 Er 3.40

| no. | electronic total energy (eV per atom) |
| --- | --- |
| 1 | -6.58 |
| 2 | -3.89 |